Computed, not measured: a relaxed structure of Zr4Ni2Hg5 at the GGA-PBE level of DFT.

Properties
**Space-group type**: P2/m (10)
**Final energy**: -4.531 eV/atom
**Formation energy**: -2.58 eV/f.u.
**D(E_F)**: 9.1 states/eV/f.u.

Cell: 3.338 7.456 9.047 Å, 94.20 90.00 90.00°
Positions (direct):
Hg (0.000, 0.157, 0.139)
Hg (0.000, 0.500, 0.000)
Hg (0.000, 0.454, 0.664)
Hg (0.000, 0.843, 0.861)
Hg (0.000, 0.546, 0.336)
Ni (0.000, 0.070, 0.629)
Ni (0.000, 0.930, 0.371)
Zr (0.500, 0.210, 0.435)
Zr (0.500, 0.790, 0.565)
Zr (0.500, 0.820, 0.157)
Zr (0.500, 0.180, 0.843)

=====

Computed, not measured: a relaxed structure of AcHoSn2 at the GGA-PBE level of DFT.

Properties
**Space-group type**: P4/mmm (123)
**Final energy**: -4.720 eV/atom
**Formation energy**: -2.19 eV/f.u.
**D(E_F)**: 3.5 states/eV/f.u.

Cell: 4.526 5.188 5.188 Å, 90.00 90.00 90.00°
Positions (direct):
Sn (0.000, 0.000, 0.500)
Sn (0.000, 0.500, 0.000)
Ac (0.500, 0.500, 0.500)
Ho (0.500, 0.000, 0.000)

=====

Computed, not measured: a relaxed structure of Be3FeC at the GGA-PBE level of DFT.

Properties
**Space-group type**: Pm-3m (221)
**Final energy**: -3.806 eV/atom
**Formation energy**: 9.83 eV/f.u.
**D(E_F)**: 2.7 states/eV/f.u.

Cell: 3.895 3.895 3.895 Å, 90.00 90.00 90.00°
Positions (direct):
Be (0.000, 0.500, 0.000)
Be (0.000, 0.000, 0.500)
Be (0.500, 0.000, 0.000)
C (0.500, 0.500, 0.500)
Fe (0.000, 0.000, 0.000)